Run i
Density functional theory data (PBE-GGA) for Mg2CCl after structural relaxation.

Computed properties:
- Total moment: 4.00 μB/cell
- DOS(E_F): 1.8 states/eV per cell
- Theoretical density: 2.0 g/cm3

The structure in CIF format:
```
data_Mg2CCl
_chemical_formula_sum 'Mg8 C4 Cl4'
_cell_length_a 5.665
_cell_length_b 5.665
_cell_length_c 9.946
_cell_angle_alpha 90.00
_cell_angle_beta 90.00
_cell_angle_gamma 90.00
_symmetry_space_group_name_H-M 'I -4 2 d'
_symmetry_Int_Tables_number 122
_symmetry_space_group_name_Hall 'I -4 2bw'
loop_
_atom_site_label
_atom_site_fract_x
_atom_site_fract_y
_atom_site_fract_z
_atom_site_occupancy
Mg1 0.174 0.250 0.125 1
C1 0.000 0.000 0.000 1
Cl1 0.000 0.000 0.500 1
```

Run ii
Density functional theory data (PBE-GGA) for Mg2CCl after structural relaxation.

Computed properties:
- Total moment: 4.00 μB/cell
- DOS(E_F): 14.1 states/eV per cell
- Theoretical density: 2.7 g/cm3

The structure in CIF format:
```
data_Mg2CCl
_chemical_formula_sum 'Mg8 C4 Cl4'
_cell_length_a 6.216
_cell_length_b 6.216
_cell_length_c 6.216
_cell_angle_alpha 90.00
_cell_angle_beta 90.00
_cell_angle_gamma 90.00
_symmetry_space_group_name_H-M 'F m -3 m'
_symmetry_Int_Tables_number 225
_symmetry_space_group_name_Hall '-F 4 2 3'
loop_
_atom_site_label
_atom_site_fract_x
_atom_site_fract_y
_atom_site_fract_z
_atom_site_occupancy
Mg1 0.250 0.250 0.250 1
C1 0.000 0.000 0.000 1
Cl1 0.000 0.000 0.500 1
```

Verdict on stability: run ii comes out at the bottom.

Run i
Density functional theory data (PBE-GGA) for MgPCCl2 after structural relaxation.

Computed properties:
- Total moment: 0.72 μB/cell
- DOS(E_F): 3.2 states/eV per cell
- Theoretical density: 2.7 g/cm3

The structure in CIF format:
```
data_MgPCCl2
_chemical_formula_sum 'Mg1 P1 C1 Cl2'
_cell_length_a 4.585
_cell_length_b 4.585
_cell_length_c 4.106
_cell_angle_alpha 90.00
_cell_angle_beta 90.00
_cell_angle_gamma 90.00
_symmetry_space_group_name_H-M 'P 4/m m m'
_symmetry_Int_Tables_number 123
_symmetry_space_group_name_Hall '-P 4 2'
loop_
_atom_site_label
_atom_site_fract_x
_atom_site_fract_y
_atom_site_fract_z
_atom_site_occupancy
Mg1 0.000 0.000 0.000 1
P1 0.500 0.500 0.000 1
C1 0.500 0.500 0.500 1
Cl1 0.000 0.500 0.500 1
```

Run ii
Density functional theory data (PBE-GGA) for MgPCCl2 after structural relaxation.

Computed properties:
- Total moment: 0.93 μB/cell
- DOS(E_F): 3.1 states/eV per cell
- Theoretical density: 1.7 g/cm3

The structure in CIF format:
```
data_MgPCCl2
_chemical_formula_sum 'Mg1 P1 C1 Cl2'
_cell_length_a 4.659
_cell_length_b 4.659
_cell_length_c 6.081
_cell_angle_alpha 90.00
_cell_angle_beta 90.00
_cell_angle_gamma 90.00
_symmetry_space_group_name_H-M 'P 4/m m m'
_symmetry_Int_Tables_number 123
_symmetry_space_group_name_Hall '-P 4 2'
loop_
_atom_site_label
_atom_site_fract_x
_atom_site_fract_y
_atom_site_fract_z
_atom_site_occupancy
Mg1 0.000 0.000 0.000 1
P1 0.000 0.000 0.500 1
C1 0.500 0.500 0.500 1
Cl1 0.000 0.500 0.000 1
```

Verdict on stability: run ii comes out at the bottom.

Run i
Density functional theory data (PBE-GGA) for MnC3Cl after structural relaxation.

Computed properties:
- Total moment: 0.00 μB/cell
- DOS(E_F): 8.6 states/eV per cell
- Theoretical density: 4.5 g/cm3

The structure in CIF format:
```
data_MnC3Cl
_chemical_formula_sum 'Mn1 C3 Cl1'
_cell_length_a 3.591
_cell_length_b 3.591
_cell_length_c 3.591
_cell_angle_alpha 90.00
_cell_angle_beta 90.00
_cell_angle_gamma 90.00
_symmetry_space_group_name_H-M 'P m -3 m'
_symmetry_Int_Tables_number 221
_symmetry_space_group_name_Hall '-P 4 2 3'
loop_
_atom_site_label
_atom_site_fract_x
_atom_site_fract_y
_atom_site_fract_z
_atom_site_occupancy
Mn1 0.000 0.000 0.000 1
C1 0.000 0.500 0.500 1
Cl1 0.500 0.500 0.500 1
```

Run ii
Density functional theory data (PBE-GGA) for MnC3Cl after structural relaxation.

Computed properties:
- Total moment: 0.00 μB/cell
- DOS(E_F): 0.2 states/eV per cell
- Theoretical density: 3.7 g/cm3

The structure in CIF format:
```
data_MnC3Cl
_chemical_formula_sum 'Mn1 C3 Cl1'
_cell_length_a 3.842
_cell_length_b 3.842
_cell_length_c 3.842
_cell_angle_alpha 90.00
_cell_angle_beta 90.00
_cell_angle_gamma 90.00
_symmetry_space_group_name_H-M 'P m -3 m'
_symmetry_Int_Tables_number 221
_symmetry_space_group_name_Hall '-P 4 2 3'
loop_
_atom_site_label
_atom_site_fract_x
_atom_site_fract_y
_atom_site_fract_z
_atom_site_occupancy
Mn1 0.000 0.000 0.000 1
C1 0.000 0.000 0.500 1
Cl1 0.500 0.500 0.500 1
```

Verdict on stability: run i comes out at the bottom.

Run i
Density functional theory data (PBE-GGA) for MnCCl2 after structural relaxation.

Computed properties:
- Total moment: 0.00 μB/cell
- DOS(E_F): 17.2 states/eV per cell
- Theoretical density: 4.4 g/cm3

The structure in CIF format:
```
data_MnCCl2
_chemical_formula_sum 'Mn4 C4 Cl8'
_cell_length_a 5.928
_cell_length_b 5.928
_cell_length_c 5.928
_cell_angle_alpha 90.00
_cell_angle_beta 90.00
_cell_angle_gamma 90.00
_symmetry_space_group_name_H-M 'F m -3 m'
_symmetry_Int_Tables_number 225
_symmetry_space_group_name_Hall '-F 4 2 3'
loop_
_atom_site_label
_atom_site_fract_x
_atom_site_fract_y
_atom_site_fract_z
_atom_site_occupancy
Mn1 0.000 0.000 0.000 1
C1 0.000 0.000 0.500 1
Cl1 0.250 0.250 0.250 1
```

Run ii
Density functional theory data (PBE-GGA) for MnCCl2 after structural relaxation.

Computed properties:
- Total moment: 9.00 μB/cell
- DOS(E_F): 14.2 states/eV per cell
- Theoretical density: 3.0 g/cm3

The structure in CIF format:
```
data_MnCCl2
_chemical_formula_sum 'Mn3 C3 Cl6'
_cell_length_a 3.4083
_cell_length_b 3.4083
_cell_length_c 22.6978
_cell_angle_alpha 90.00
_cell_angle_beta 90.00
_cell_angle_gamma 120.00
_symmetry_space_group_name_H-M 'R -3 m'
_symmetry_Int_Tables_number 166
_symmetry_space_group_name_Hall '-R 3 2"'
loop_
_atom_site_label
_atom_site_fract_x
_atom_site_fract_y
_atom_site_fract_z
_atom_site_occupancy
Mn1 0.0000 0.0000 0.0000 1
C1 0.0000 0.0000 0.5000 1
Cl1 0.0000 0.0000 0.0974 1
```

Verdict on stability: run i comes out at the bottom.

Run i
Density functional theory data (PBE-GGA) for MnPCCl2 after structural relaxation.

Computed properties:
- Total moment: 4.15 μB/cell
- DOS(E_F): 2.0 states/eV per cell
- Theoretical density: 2.7 g/cm3

The structure in CIF format:
```
data_MnPCCl2
_chemical_formula_sum 'Mn1 P1 C1 Cl2'
_cell_length_a 4.655
_cell_length_b 4.655
_cell_length_c 4.770
_cell_angle_alpha 90.00
_cell_angle_beta 90.00
_cell_angle_gamma 90.00
_symmetry_space_group_name_H-M 'P 4/m m m'
_symmetry_Int_Tables_number 123
_symmetry_space_group_name_Hall '-P 4 2'
loop_
_atom_site_label
_atom_site_fract_x
_atom_site_fract_y
_atom_site_fract_z
_atom_site_occupancy
Mn1 0.000 0.000 0.000 1
P1 0.000 0.000 0.500 1
C1 0.500 0.500 0.500 1
Cl1 0.000 0.500 0.000 1
```

Run ii
Density functional theory data (PBE-GGA) for MnPCCl2 after structural relaxation.

Computed properties:
- Total moment: 0.44 μB/cell
- DOS(E_F): 5.3 states/eV per cell
- Theoretical density: 3.7 g/cm3

The structure in CIF format:
```
data_MnPCCl2
_chemical_formula_sum 'Mn1 P1 C1 Cl2'
_cell_length_a 4.338
_cell_length_b 4.338
_cell_length_c 4.079
_cell_angle_alpha 90.00
_cell_angle_beta 90.00
_cell_angle_gamma 90.00
_symmetry_space_group_name_H-M 'P 4/m m m'
_symmetry_Int_Tables_number 123
_symmetry_space_group_name_Hall '-P 4 2'
loop_
_atom_site_label
_atom_site_fract_x
_atom_site_fract_y
_atom_site_fract_z
_atom_site_occupancy
Mn1 0.000 0.000 0.000 1
P1 0.500 0.500 0.000 1
C1 0.500 0.500 0.500 1
Cl1 0.000 0.500 0.500 1
```

Verdict on stability: run ii comes out at the bottom.

Run i
Density functional theory data (PBE-GGA) for Mo2CCl after structural relaxation.

Computed properties:
- Total moment: 0.00 μB/cell
- DOS(E_F): 12.9 states/eV per cell
- Theoretical density: 8.2 g/cm3

The structure in CIF format:
```
data_Mo2CCl
_chemical_formula_sum 'Mo8 C4 Cl4'
_cell_length_a 5.792
_cell_length_b 5.792
_cell_length_c 5.792
_cell_angle_alpha 90.00
_cell_angle_beta 90.00
_cell_angle_gamma 90.00
_symmetry_space_group_name_H-M 'F m -3 m'
_symmetry_Int_Tables_number 225
_symmetry_space_group_name_Hall '-F 4 2 3'
loop_
_atom_site_label
_atom_site_fract_x
_atom_site_fract_y
_atom_site_fract_z
_atom_site_occupancy
Mo1 0.250 0.250 0.250 1
C1 0.000 0.000 0.000 1
Cl1 0.000 0.000 0.500 1
```

Run ii
Density functional theory data (PBE-GGA) for Mo2CCl after structural relaxation.

Computed properties:
- Total moment: 7.48 μB/cell
- DOS(E_F): 21.9 states/eV per cell
- Theoretical density: 6.0 g/cm3

The structure in CIF format:
```
data_Mo2CCl
_chemical_formula_sum 'Mo8 C4 Cl4'
_cell_length_a 5.262
_cell_length_b 5.262
_cell_length_c 9.602
_cell_angle_alpha 90.00
_cell_angle_beta 90.00
_cell_angle_gamma 90.00
_symmetry_space_group_name_H-M 'I -4 2 d'
_symmetry_Int_Tables_number 122
_symmetry_space_group_name_Hall 'I -4 2bw'
loop_
_atom_site_label
_atom_site_fract_x
_atom_site_fract_y
_atom_site_fract_z
_atom_site_occupancy
Mo1 0.176 0.250 0.125 1
C1 0.000 0.000 0.000 1
Cl1 0.000 0.000 0.500 1
```

Verdict on stability: run i comes out at the bottom.

Run i
Density functional theory data (PBE-GGA) for MoC3Cl after structural relaxation.

Computed properties:
- Total moment: 0.00 μB/cell
- DOS(E_F): 4.7 states/eV per cell
- Theoretical density: 5.6 g/cm3

The structure in CIF format:
```
data_MoC3Cl
_chemical_formula_sum 'Mo1 C3 Cl1'
_cell_length_a 3.671
_cell_length_b 3.671
_cell_length_c 3.671
_cell_angle_alpha 90.00
_cell_angle_beta 90.00
_cell_angle_gamma 90.00
_symmetry_space_group_name_H-M 'P m -3 m'
_symmetry_Int_Tables_number 221
_symmetry_space_group_name_Hall '-P 4 2 3'
loop_
_atom_site_label
_atom_site_fract_x
_atom_site_fract_y
_atom_site_fract_z
_atom_site_occupancy
Mo1 0.000 0.000 0.000 1
C1 0.000 0.500 0.500 1
Cl1 0.500 0.500 0.500 1
```

Run ii
Density functional theory data (PBE-GGA) for MoC3Cl after structural relaxation.

Computed properties:
- Total moment: 0.00 μB/cell
- DOS(E_F): 4.2 states/eV per cell
- Theoretical density: 3.8 g/cm3

The structure in CIF format:
```
data_MoC3Cl
_chemical_formula_sum 'Mo1 C3 Cl1'
_cell_length_a 4.166
_cell_length_b 4.166
_cell_length_c 4.166
_cell_angle_alpha 90.00
_cell_angle_beta 90.00
_cell_angle_gamma 90.00
_symmetry_space_group_name_H-M 'P m -3 m'
_symmetry_Int_Tables_number 221
_symmetry_space_group_name_Hall '-P 4 2 3'
loop_
_atom_site_label
_atom_site_fract_x
_atom_site_fract_y
_atom_site_fract_z
_atom_site_occupancy
Mo1 0.000 0.000 0.000 1
C1 0.000 0.000 0.500 1
Cl1 0.500 0.500 0.500 1
```

Verdict on stability: run i comes out at the bottom.

Run i
Density functional theory data (PBE-GGA) for MoC2Cl after structural relaxation.

Computed properties:
- Total moment: 0.00 μB/cell
- DOS(E_F): 12.8 states/eV per cell
- Theoretical density: 3.7 g/cm3

The structure in CIF format:
```
data_MoC2Cl
_chemical_formula_sum 'Mo4 C8 Cl4'
_cell_length_a 5.323
_cell_length_b 5.323
_cell_length_c 9.816
_cell_angle_alpha 90.00
_cell_angle_beta 90.00
_cell_angle_gamma 90.00
_symmetry_space_group_name_H-M 'I -4 2 d'
_symmetry_Int_Tables_number 122
_symmetry_space_group_name_Hall 'I -4 2bw'
loop_
_atom_site_label
_atom_site_fract_x
_atom_site_fract_y
_atom_site_fract_z
_atom_site_occupancy
Mo1 0.000 0.000 0.000 1
C1 0.137 0.250 0.125 1
Cl1 0.000 0.000 0.500 1
```

Run ii
Density functional theory data (PBE-GGA) for MoC2Cl after structural relaxation.

Computed properties:
- Total moment: 0.00 μB/cell
- DOS(E_F): 16.8 states/eV per cell
- Theoretical density: 5.9 g/cm3

The structure in CIF format:
```
data_MoC2Cl
_chemical_formula_sum 'Mo4 C8 Cl4'
_cell_length_a 5.584
_cell_length_b 5.584
_cell_length_c 5.584
_cell_angle_alpha 90.00
_cell_angle_beta 90.00
_cell_angle_gamma 90.00
_symmetry_space_group_name_H-M 'F m -3 m'
_symmetry_Int_Tables_number 225
_symmetry_space_group_name_Hall '-F 4 2 3'
loop_
_atom_site_label
_atom_site_fract_x
_atom_site_fract_y
_atom_site_fract_z
_atom_site_occupancy
Mo1 0.000 0.000 0.000 1
C1 0.250 0.250 0.250 1
Cl1 0.000 0.000 0.500 1
```

Verdict on stability: run ii comes out at the bottom.